The following is a PBE calculation of crystalline NaMgPd3 at its relaxed geometry, from the Alexandria database.

Computed properties:
ΔH_f (0 K) in meV per atom: 211.7
VASP energy in eV/cell: -17.43
Energy above the most stable polymorph in this dataset in eV per atom: 0.0000

Cell lengths 4.7547, 4.7547, 4.7547 Å; angles 90.00, 90.00, 90.00 degrees
With the nearest neighbours (Å) after each atom.
Space group Pm-3m (No. 221)
Asymmetric unit:
Na1 0.0000 0.0000 0.0000 [1 per cell]  12 Pd 3.36
Mg1 0.5000 0.5000 0.5000 [1 per cell]  6 Pd 2.38
Pd1 0.0000 0.5000 0.5000 [3 per cell]  2 Mg 2.38

The following is a PBE calculation of crystalline MgTe2Pt at its relaxed geometry, from the Alexandria database.

Computed properties:
VASP energy in eV/cell: -43.63
E_form (uncorrected) in eV/atom: -0.1565

Cell lengths 4.0488, 4.0488, 25.6274 Å; angles 90.00, 90.00, 120.00 degrees
With the nearest neighbours (Å) after each atom.
Space group R-3m (No. 166, hexagonal axes)
Asymmetric unit:
Mg1 0.0000 0.0000 0.0000 [3 per cell]  2 Te 2.87
Te1 0.0000 0.0000 0.1119 [6 per cell]  3 Pt 2.73, 1 Mg 2.87
Pt1 0.0000 0.0000 0.5000 [3 per cell]  6 Te 2.73